[1]
## RbCeMg6O8 (PBE-GGA)

Data for a relaxed structure of RbCeMg6O8.

## Properties
- Uncorrected formation energy: -2252 meV/atom
- Crystal system: tetragonal
- Energy: -5.76 eV/atom
- Space group: P4/mmm

a = 4.701 Å, b = 4.701 Å, c = 9.149 Å
α = 90.00°, β = 90.00°, γ = 90.00°
Positions (direct):
Rb1 0.500 0.500 0.000
Ce1 0.000 0.000 0.000
Mg1 0.000 0.000 0.500
Mg2 0.500 0.500 0.500
Mg3 0.000 0.500 0.278
Mg4 0.000 0.500 0.722
Mg5 0.500 0.000 0.278
Mg6 0.500 0.000 0.722
O1 0.000 0.000 0.269
O2 0.000 0.000 0.731
O3 0.500 0.500 0.286
O4 0.500 0.500 0.714
O5 0.000 0.500 0.000
O6 0.000 0.500 0.500
O7 0.500 0.000 0.000
O8 0.500 0.000 0.500

[2]
## HoInAu4 (PBE-GGA)

Data for a relaxed structure of HoInAu4.

## Properties
- Formation energy from the elements: -0.5226 eV per atom
- Crystal system: orthorhombic
- Energy: -3.93 eV/atom
- Space group: Cmmm

a = 5.097 Å, b = 5.123 Å, c = 5.282 Å
α = 60.99°, β = 89.99°, γ = 89.98°
Positions (direct):
Ho1 0.001 0.502 0.495
In1 0.501 0.002 0.496
Au1 0.501 0.671 0.158
Au2 0.501 0.333 0.833
Au3 0.001 0.170 0.160
Au4 0.001 0.834 0.831

[3]
## PuZr2Pa (PBE-GGA)

Data for a relaxed structure of PuZr2Pa.

## Properties
- Formation energy from the elements: 0.2516 eV per atom
- Crystal system: cubic
- Energy: -9.98 eV/atom
- Space group: Fm-3m

a = 5.156 Å, b = 5.156 Å, c = 5.156 Å
α = 60.00°, β = 60.00°, γ = 60.00°
Positions (direct):
Pa1 0.500 0.500 0.500
Zr1 0.250 0.250 0.250
Zr2 0.750 0.750 0.750
Pu1 0.000 0.000 0.000